Record 1
Density functional theory data (PBE) for crystalline YCoOs2 at its relaxed geometry.

## Properties
For the energy above the most stable polymorph in this dataset, the calculation gives 17.4 kJ/mol of formula units. Its mass density is 13.275 g cm⁻³. For the final energy, the calculation gives -8.771 eV/atom. The formation energy comes out at 0.236 eV/atom. The symmetry is No. 25.

a = 2.843 Å, b = 3.780 Å, c = 6.148 Å
α = 90.00°, β = 90.00°, γ = 90.00°
Last column: magnetic moment on the atom in μB.
Fractional positions:
Os (0.000, 0.000, 0.005)  0.10
Os (0.500, 0.500, 0.191)  0.01
Co (0.500, 0.500, 0.791)  1.03
Y (0.000, 0.000, 0.512)  -0.08


Record 2
Density functional theory data (PBE) for crystalline YCoOs2 at its relaxed geometry.

## Properties
For the energy above the most stable polymorph in this dataset, the calculation gives 124.6 kJ/mol of formula units. Its mass density is 13.685 g cm⁻³. For the final energy, the calculation gives -8.494 eV/atom. The formation energy comes out at 0.513 eV/atom. The symmetry is No. 65.

a = 4.923 Å, b = 4.923 Å, c = 2.859 Å
α = 90.00°, β = 90.00°, γ = 112.31°
Last column: magnetic moment on the atom in μB.
Fractional positions:
Os (0.000, 0.000, 0.000)  -0.04
Os (0.500, 0.500, 0.000)  -0.04
Co (0.000, 0.500, 0.500)  0.88
Y (0.500, 0.000, 0.500)  -0.02


Record 3
Density functional theory data (PBE) for crystalline YCoOs2 at its relaxed geometry.

## Properties
For the energy above the most stable polymorph in this dataset, the calculation gives 74.3 kJ/mol of formula units. Its mass density is 13.708 g cm⁻³. For the final energy, the calculation gives -8.624 eV/atom. The formation energy comes out at 0.383 eV/atom. The symmetry is No. 119.

a = 4.692 Å, b = 4.692 Å, c = 4.692 Å
α = 126.89°, β = 126.89°, γ = 78.44°
Last column: magnetic moment on the atom in μB.
Fractional positions:
Os (0.250, 0.750, 0.500)  -0.15
Os (0.000, 0.000, 0.000)  0.10
Co (0.750, 0.250, 0.500)  0.84
Y (0.500, 0.500, 0.000)  -0.03


Q: The highest mass density belongs to which entry?
A: number 3


Q: energy above the most stable polymorph in this dataset of number 1 (YCoOs2)?
A: 17.4 kJ/mol of formula units


Q: Which of these has the highest mass density?
A: number 3


Q: What is the formula in the third record?
A: YCoOs2